# LiCe2ThTl4, relaxed, DFT PBE
# **Energy relative to the elements**: -0.19 eV per atom
# **Volume**: 678.3 Å³/cell
data_LiCe2ThTl4
_chemical_formula_sum 'Li3 Ce6 Th3 Tl12'
_space_group_name_H-M_alt 'R -3 m'
_space_group_IT_number 166
_space_group_name_Hall '-R 3 2"'
_cell_length_a 5.3505
_cell_length_b 5.3505
_cell_length_c 27.3582
_cell_angle_alpha 90.00
_cell_angle_beta 90.00
_cell_angle_gamma 120.00
loop_
_atom_site_label
_atom_site_fract_x
_atom_site_fract_y
_atom_site_fract_z
Li1 0.0000 0.0000 0.0000
Ce1 0.0000 0.0000 0.2541
Th1 0.0000 0.0000 0.5000
Tl1 0.0000 0.0000 0.1215
Tl2 0.0000 0.0000 0.3718



# LiCeTi, relaxed, DFT PBE
# **Energy relative to the elements**: 0.27 eV per atom
# **Volume**: 121.3 Å³/cell
data_LiCeTi
_chemical_formula_sum 'Li2 Ce2 Ti2'
_space_group_name_H-M_alt 'P -1'
_space_group_IT_number 2
_space_group_name_Hall '-P 1'
_cell_length_a 2.879
_cell_length_b 5.654
_cell_length_c 7.713
_cell_angle_alpha 100.30
_cell_angle_beta 100.72
_cell_angle_gamma 90.15
loop_
_atom_site_label
_atom_site_fract_x
_atom_site_fract_y
_atom_site_fract_z
Li1 0.098 0.423 0.192
Ce1 0.418 0.082 0.837
Ti1 0.257 0.786 0.517



# LiCe2Ti, relaxed, DFT PBE
# **Energy relative to the elements**: 0.22 eV per atom
# **Volume**: 274.9 Å³/cell
data_LiCe2Ti
_chemical_formula_sum 'Li3 Ce6 Ti3'
_space_group_name_H-M_alt 'R -3 m'
_space_group_IT_number 166
_space_group_name_Hall '-R 3 2"'
_cell_length_a 3.0154
_cell_length_b 3.0154
_cell_length_c 34.9039
_cell_angle_alpha 90.00
_cell_angle_beta 90.00
_cell_angle_gamma 120.00
loop_
_atom_site_label
_atom_site_fract_x
_atom_site_fract_y
_atom_site_fract_z
Li1 0.0000 0.0000 0.0000
Ce1 0.0000 0.0000 0.0899
Ti1 0.0000 0.0000 0.5000



# LiCeTl3, relaxed, DFT PBE
# **Energy relative to the elements**: -0.09 eV per atom
# **Volume**: 533.6 Å³/cell
data_LiCeTl3
_chemical_formula_sum 'Li4 Ce4 Tl12'
_space_group_name_H-M_alt 'C 1 2/m 1'
_space_group_IT_number 12
_space_group_name_Hall '-C 2y'
_cell_length_a 23.769
_cell_length_b 4.743
_cell_length_c 4.832
_cell_angle_alpha 90.00
_cell_angle_beta 101.64
_cell_angle_gamma 90.00
loop_
_atom_site_label
_atom_site_fract_x
_atom_site_fract_y
_atom_site_fract_z
Li1 0.147 0.000 0.397
Ce1 0.077 0.500 0.828
Tl1 0.037 0.000 0.287
Tl2 0.198 0.000 0.949
Tl3 0.200 0.500 0.450



# Li4Ce3Tl4, relaxed, DFT PBE
# **Energy relative to the elements**: -0.19 eV per atom
# **Volume**: 270.2 Å³/cell
data_Li4Ce3Tl4
_chemical_formula_sum 'Li4 Ce3 Tl4'
_space_group_name_H-M_alt 'P -1'
_space_group_IT_number 2
_space_group_name_Hall '-P 1'
_cell_length_a 3.399
_cell_length_b 5.022
_cell_length_c 16.114
_cell_angle_alpha 98.93
_cell_angle_beta 96.05
_cell_angle_gamma 90.01
loop_
_atom_site_label
_atom_site_fract_x
_atom_site_fract_y
_atom_site_fract_z
Li1 0.093 0.093 0.187
Li2 0.240 0.740 0.480
Ce1 0.358 0.358 0.715
Ce2 0.500 0.000 0.000
Tl1 0.051 0.551 0.102
Tl2 0.185 0.185 0.371



# LiCeTl2, relaxed, DFT PBE
# **Energy relative to the elements**: -0.12 eV per atom
# **Volume**: 202.7 Å³/cell
data_LiCeTl2
_chemical_formula_sum 'Li2 Ce2 Tl4'
_space_group_name_H-M_alt 'C 1 m 1'
_space_group_IT_number 8
_space_group_name_Hall 'C -2y'
_cell_length_a 5.786
_cell_length_b 3.337
_cell_length_c 10.674
_cell_angle_alpha 90.00
_cell_angle_beta 100.50
_cell_angle_gamma 90.00
loop_
_atom_site_label
_atom_site_fract_x
_atom_site_fract_y
_atom_site_fract_z
Li1 0.000 0.000 0.000
Ce1 0.333 0.500 0.502
Tl1 0.092 0.500 0.775
Tl2 0.409 0.000 0.227



# Li3CeTl3, relaxed, DFT PBE
# **Energy relative to the elements**: 0.17 eV per atom
# **Volume**: 374.1 Å³/cell
data_Li3CeTl3
_chemical_formula_sum 'Li6 Ce2 Tl6'
_space_group_name_H-M_alt 'P m -3 n'
_space_group_IT_number 223
_space_group_name_Hall '-P 4n 2 3'
_cell_length_a 7.206
_cell_length_b 7.206
_cell_length_c 7.206
_cell_angle_alpha 90.00
_cell_angle_beta 90.00
_cell_angle_gamma 90.00
loop_
_atom_site_label
_atom_site_fract_x
_atom_site_fract_y
_atom_site_fract_z
Li1 0.000 0.250 0.500
Ce1 0.000 0.000 0.000
Tl1 0.000 0.500 0.250



# LiCeTl3, relaxed, DFT PBE
# **Energy relative to the elements**: -0.10 eV per atom
# **Volume**: 262.9 Å³/cell
data_LiCeTl3
_chemical_formula_sum 'Li2 Ce2 Tl6'
_space_group_name_H-M_alt 'P 4/n m m'
_space_group_IT_number 129
_cell_length_a 6.690
_cell_length_b 6.690
_cell_length_c 5.874
_cell_angle_alpha 90.00
_cell_angle_beta 90.00
_cell_angle_gamma 90.00
loop_
_space_group_symop_operation_xyz
'x,y,z'
'-x,-y,-z'
'-y+1/2,x,z'
'y+1/2,-x,-z'
'-x+1/2,-y+1/2,z'
'x+1/2,y+1/2,-z'
'y,-x+1/2,z'
'-y,x+1/2,-z'
'x+1/2,-y,-z'
'-x+1/2,y,z'
'-y,-x,-z'
'y,x,z'
'-x,y+1/2,-z'
'x,-y+1/2,z'
'y+1/2,x+1/2,-z'
'-y+1/2,-x+1/2,z'
loop_
_atom_site_label
_atom_site_fract_x
_atom_site_fract_y
_atom_site_fract_z
Li1 0.250 0.250 0.215
Ce1 0.250 0.750 0.500
Tl1 0.000 0.000 0.000
Tl2 0.250 0.250 0.636



Number 1: total moment 6.246 μB/cell. Number 2: total moment 0.000 μB/cell. Number 3: total moment 0.007 μB/cell. Number 4: total moment 4.115 μB/cell. Number 5: total moment 3.671 μB/cell. Number 6: total moment 1.026 μB/cell. Number 7: total moment 2.872 μB/cell. Number 8: total moment 2.170 μB/cell.